CrN: relaxed, PBE.

abc: 4.3994 4.3994 4.3994
angles: 90.00 90.00 90.00
Space group F-43m (No. 216)
Unique sites:
Cr 0.0000 0.0000 0.0000 (multiplicity 4)
N 0.2500 0.2500 0.7500 (multiplicity 4)

Results
total energy = -9.4560 eV/atom
formation energy (no corrections) = -0.482 eV/atom
DOS(E_F) = 5.520 states/eV per cell
M_tot = 7.604 μB/cell